## SbPRu (PBE)

Data for a relaxed SbPRu crystal.

a b c (Å): 6.168 6.268 6.242
angles (deg): 90.00 109.54 90.00
Atoms (fractional coordinates):
Sb (0.149, 0.120, 0.362)
Sb (0.149, 0.380, 0.862)
Sb (0.851, 0.620, 0.138)
Sb (0.851, 0.880, 0.638)
P (0.354, 0.651, 0.663)
P (0.354, 0.849, 0.163)
P (0.646, 0.151, 0.837)
P (0.646, 0.349, 0.337)
Ru (0.301, 0.519, 0.305)
Ru (0.301, 0.981, 0.805)
Ru (0.699, 0.019, 0.195)
Ru (0.699, 0.481, 0.695)

Calculated values
Space group = P2_1/c
Energy relative to the lowest polymorph listed for this composition = 0 meV per atom

---

## ZnH2SeBr (PBE)

Data for a relaxed ZnH2SeBr crystal.

a b c (Å): 3.759 3.759 6.288
angles (deg): 90.00 90.00 90.00
Atoms (fractional coordinates):
Zn (0.000, 0.000, 0.000)
H (0.000, 0.500, 0.000)
H (0.500, 0.000, 0.000)
Se (0.500, 0.500, 0.500)
Br (0.000, 0.000, 0.500)

Calculated values
Space group = P4/mmm

---

## CrTc2Ge2 (PBE)

Data for a relaxed CrTc2Ge2 crystal.

a b c (Å): 7.037 7.037 3.110
angles (deg): 90.00 90.00 90.00
Atoms (fractional coordinates):
Cr (0.000, 0.000, 0.000)
Cr (0.500, 0.500, 0.000)
Tc (0.139, 0.361, 0.000)
Tc (0.361, 0.861, 0.000)
Tc (0.639, 0.139, 0.000)
Tc (0.861, 0.639, 0.000)
Ge (0.159, 0.659, 0.500)
Ge (0.341, 0.159, 0.500)
Ge (0.659, 0.841, 0.500)
Ge (0.841, 0.341, 0.500)

Calculated values
Space group = P4/mbm
Calculated formation energy = 163 meV/atom
Energy relative to the lowest polymorph listed for this composition = 0 meV per atom

---

## Rb3SrSc (PBE)

Data for a relaxed Rb3SrSc crystal.

a b c (Å): 7.257 7.257 7.257
angles (deg): 90.00 90.00 90.00
Atoms (fractional coordinates):
Rb (0.000, 0.000, 0.500)
Rb (0.000, 0.500, 0.000)
Rb (0.500, 0.000, 0.000)
Sr (0.500, 0.500, 0.500)
Sc (0.000, 0.000, 0.000)

Calculated values
Space group = Pm-3m
Calculated formation energy = 796 meV/atom
Energy relative to the lowest polymorph listed for this composition = 0 meV per atom

---

## YSb2TeI (PBE)

Data for a relaxed YSb2TeI crystal.

a b c (Å): 5.761 5.761 5.636
angles (deg): 90.00 90.00 90.00
Atoms (fractional coordinates):
Y (0.000, 0.000, 0.000)
Sb (0.000, 0.500, 0.500)
Sb (0.500, 0.000, 0.500)
Te (0.500, 0.500, 0.500)
I (0.500, 0.500, 0.000)

Calculated values
Space group = P4/mmm
Energy relative to the lowest polymorph listed for this composition = 280 meV per atom

---

## CrTc2Ag (PBE)

Data for a relaxed CrTc2Ag crystal.

a b c (Å): 4.797 4.797 4.784
angles (deg): 101.47 101.47 33.73
Atoms (fractional coordinates):
Cr (0.000, 0.000, 0.000)
Tc (0.478, 0.478, 0.440)
Tc (0.728, 0.728, 0.229)
Ag (0.240, 0.240, 0.734)

Calculated values
Space group = Cm
Calculated formation energy = 461 meV/atom
Energy relative to the lowest polymorph listed for this composition = 156 meV per atom

---

## Ag2As2O5 (PBE)

Data for a relaxed Ag2As2O5 crystal.

a b c (Å): 7.433 7.433 6.018
angles (deg): 94.60 94.60 27.94
Atoms (fractional coordinates):
Ag (0.159, 0.159, 0.064)
Ag (0.841, 0.841, 0.936)
As (0.376, 0.376, 0.464)
As (0.624, 0.624, 0.536)
O (0.151, 0.151, 0.441)
O (0.349, 0.349, 0.179)
O (0.500, 0.500, 0.500)
O (0.651, 0.651, 0.821)
O (0.849, 0.849, 0.559)

Calculated values
Space group = C2/m

---

## La2PrMg (PBE)

Data for a relaxed La2PrMg crystal.

a b c (Å): 11.947 11.947 11.947
angles (deg): 17.69 17.69 17.69
Atoms (fractional coordinates):
La (0.000, 0.000, 0.000)
La (0.175, 0.175, 0.175)
Pr (0.755, 0.755, 0.755)
Mg (0.588, 0.588, 0.588)

Calculated values
Space group = R3m
Calculated formation energy = 34 meV/atom
Energy relative to the lowest polymorph listed for this composition = 82 meV per atom

---

## Sm8GaPb2 (PBE)

Data for a relaxed Sm8GaPb2 crystal.

a b c (Å): 10.168 10.168 6.882
angles (deg): 103.94 103.94 29.67
Atoms (fractional coordinates):
Sm (0.014, 0.014, 0.275)
Sm (0.215, 0.215, 0.824)
Sm (0.347, 0.347, 0.496)
Sm (0.410, 0.410, 0.029)
Sm (0.590, 0.590, 0.971)
Sm (0.653, 0.653, 0.504)
Sm (0.785, 0.785, 0.176)
Sm (0.986, 0.986, 0.725)
Ga (0.500, 0.500, 0.500)
Pb (0.179, 0.179, 0.259)
Pb (0.821, 0.821, 0.741)

Calculated values
Space group = C2/m
Calculated formation energy = -286 meV/atom

---

## AlTeHI2 (PBE)

Data for a relaxed AlTeHI2 crystal.

a b c (Å): 5.889 5.889 3.931
angles (deg): 90.00 90.00 90.00
Atoms (fractional coordinates):
Al (0.000, 0.000, 0.000)
Te (0.500, 0.500, 0.000)
H (0.500, 0.500, 0.500)
I (0.000, 0.500, 0.500)
I (0.500, 0.000, 0.500)

Calculated values
Space group = P4/mmm
Energy relative to the lowest polymorph listed for this composition = 0 meV per atom

---

## NdScBr (PBE)

Data for a relaxed NdScBr crystal.

a b c (Å): 6.196 3.590 8.134
angles (deg): 90.00 111.24 90.00
Atoms (fractional coordinates):
Nd (0.184, 0.250, 0.194)
Nd (0.816, 0.750, 0.806)
Sc (0.348, 0.250, 0.843)
Sc (0.652, 0.750, 0.157)
Br (0.279, 0.750, 0.556)
Br (0.721, 0.250, 0.444)

Calculated values
Space group = P2_1/m
Energy relative to the lowest polymorph listed for this composition = 7 meV per atom

---

## CeFe4Ir (PBE)

Data for a relaxed CeFe4Ir crystal.

a b c (Å): 4.985 4.985 4.985
angles (deg): 60.00 60.00 60.00
Atoms (fractional coordinates):
Ce (0.000, 0.000, 0.000)
Fe (0.376, 0.376, 0.376)
Fe (0.376, 0.376, 0.873)
Fe (0.376, 0.873, 0.376)
Fe (0.873, 0.376, 0.376)
Ir (0.750, 0.750, 0.750)

Calculated values
Space group = F-43m
Calculated formation energy = -32 meV/atom

---

## Zr2Nb2In3 (PBE)

Data for a relaxed Zr2Nb2In3 crystal.

a b c (Å): 10.709 10.709 2.996
angles (deg): 90.00 90.00 154.64
Atoms (fractional coordinates):
Zr (0.074, 0.926, 0.000)
Zr (0.926, 0.074, 0.000)
Nb (0.214, 0.786, 0.000)
Nb (0.786, 0.214, 0.000)
In (0.346, 0.654, 0.500)
In (0.500, 0.500, 0.500)
In (0.654, 0.346, 0.500)

Calculated values
Space group = Cmmm
Calculated formation energy = -100 meV/atom

---

## HgPbSeO (PBE)

Data for a relaxed HgPbSeO crystal.

a b c (Å): 13.624 13.624 13.624
angles (deg): 17.42 17.42 17.42
Atoms (fractional coordinates):
Hg (0.246, 0.246, 0.246)
Hg (0.754, 0.754, 0.754)
Pb (0.000, 0.000, 0.000)
Pb (0.500, 0.500, 0.500)
Se (0.381, 0.381, 0.381)
Se (0.619, 0.619, 0.619)
O (0.195, 0.195, 0.195)
O (0.805, 0.805, 0.805)

Calculated values
Space group = R-3m

---

## BaTlBiSb (PBE)

Data for a relaxed BaTlBiSb crystal.

a b c (Å): 5.786 5.786 5.786
angles (deg): 60.00 60.00 60.00
Atoms (fractional coordinates):
Ba (0.000, 0.000, 0.000)
Tl (0.250, 0.250, 0.250)
Bi (0.500, 0.500, 0.500)
Sb (0.750, 0.750, 0.750)

Calculated values
Space group = F-43m
Energy relative to the lowest polymorph listed for this composition = 111 meV per atom

---

## NiBiSe2N (PBE)

Data for a relaxed NiBiSe2N crystal.

a b c (Å): 5.501 5.501 4.312
angles (deg): 90.00 90.00 90.00
Atoms (fractional coordinates):
Ni (0.000, 0.000, 0.000)
Bi (0.500, 0.500, 0.500)
Se (0.000, 0.500, 0.500)
Se (0.500, 0.000, 0.500)
N (0.500, 0.500, 0.000)

Calculated values
Space group = P4/mmm
Energy relative to the lowest polymorph listed for this composition = 1099 meV per atom

---

## BaHgH2Pd2 (PBE)

Data for a relaxed BaHgH2Pd2 crystal.

a b c (Å): 6.584 5.622 6.609
angles (deg): 90.00 110.14 90.00
Atoms (fractional coordinates):
Ba (0.233, 0.250, 0.266)
Ba (0.767, 0.750, 0.734)
Hg (0.412, 0.750, 0.086)
Hg (0.588, 0.250, 0.914)
H (0.084, 0.250, 0.780)
H (0.282, 0.750, 0.581)
H (0.718, 0.250, 0.419)
H (0.916, 0.750, 0.220)
Pd (0.197, 0.000, 0.695)
Pd (0.197, 0.500, 0.695)
Pd (0.803, 0.000, 0.305)
Pd (0.803, 0.500, 0.305)

Calculated values
Space group = P2_1/m

---

## Zn7In6 (PBE)

Data for a relaxed Zn7In6 crystal.

a b c (Å): 10.659 10.659 10.659
angles (deg): 29.98 29.98 29.98
Atoms (fractional coordinates):
Zn (0.000, 0.000, 0.000)
Zn (0.091, 0.091, 0.592)
Zn (0.091, 0.592, 0.091)
Zn (0.408, 0.909, 0.909)
Zn (0.592, 0.091, 0.091)
Zn (0.909, 0.408, 0.909)
Zn (0.909, 0.909, 0.408)
In (0.167, 0.167, 0.167)
In (0.344, 0.344, 0.344)
In (0.450, 0.450, 0.450)
In (0.550, 0.550, 0.550)
In (0.656, 0.656, 0.656)
In (0.833, 0.833, 0.833)

Calculated values
Space group = R-3m
Calculated formation energy = 83 meV/atom

---

## Bi3OsS (PBE)

Data for a relaxed Bi3OsS crystal.

a b c (Å): 5.301 5.301 5.301
angles (deg): 90.00 90.00 90.00
Atoms (fractional coordinates):
Bi (0.000, 0.000, 0.500)
Bi (0.000, 0.500, 0.000)
Bi (0.500, 0.000, 0.000)
Os (0.000, 0.000, 0.000)
S (0.500, 0.500, 0.500)

Calculated values
Space group = Pm-3m
Energy relative to the lowest polymorph listed for this composition = 0 meV per atom

---

## Zn2GaPb2 (PBE)

Data for a relaxed Zn2GaPb2 crystal.

a b c (Å): 6.928 6.928 4.851
angles (deg): 90.00 90.00 90.00
Atoms (fractional coordinates):
Zn (0.132, 0.368, 0.000)
Zn (0.368, 0.868, 0.000)
Zn (0.632, 0.132, 0.000)
Zn (0.868, 0.632, 0.000)
Ga (0.000, 0.000, 0.000)
Ga (0.500, 0.500, 0.000)
Pb (0.180, 0.680, 0.500)
Pb (0.320, 0.180, 0.500)
Pb (0.680, 0.820, 0.500)
Pb (0.820, 0.320, 0.500)

Calculated values
Space group = P4/mbm
Calculated formation energy = 104 meV/atom
Energy relative to the lowest polymorph listed for this composition = 0 meV per atom

---

| no. | electronic total energy (eV/atom) |
| --- | --- |
| 1 | -6.619 |
| 2 | -2.212 |
| 3 | -7.755 |
| 4 | -1.387 |
| 5 | -3.474 |
| 6 | -7.841 |
| 7 | -5.089 |
| 8 | -4.023 |
| 9 | -4.667 |
| 10 | -2.284 |
| 11 | -4.930 |
| 12 | -8.140 |
| 13 | -6.593 |
| 14 | -3.522 |
| 15 | -3.417 |
| 16 | -3.549 |
| 17 | -3.619 |
| 18 | -1.867 |
| 19 | -4.617 |
| 20 | -2.494 |